a.
# CsB4Au (PBE, relaxed)
# mass density: 7.73 g/cm³
data_CsB4Au
_cell_length_a 3.1874
_cell_length_b 3.1874
_cell_length_c 9.1103
_cell_angle_alpha 90.00
_cell_angle_beta 90.00
_cell_angle_gamma 120.00
_symmetry_space_group_name_H-M 'P 6/m m m'
_symmetry_Int_Tables_number 191
_symmetry_space_group_name_Hall '-P 6 2'
loop_
_atom_site_label
_atom_site_type_symbol
_atom_site_fract_x
_atom_site_fract_y
_atom_site_fract_z
_atom_site_occupancy
Cs1 Cs 0.0000 0.0000 0.0000 1
B1 B 0.3333 0.6667 0.3007 1
Au1 Au 0.0000 0.0000 0.5000 1

b.
# CsB4Au (PBE, relaxed)
# mass density: 6.97 g/cm³
data_CsB4Au
_cell_length_a 2.9165
_cell_length_b 5.7162
_cell_length_c 10.6578
_cell_angle_alpha 90.00
_cell_angle_beta 90.00
_cell_angle_gamma 90.00
_symmetry_space_group_name_H-M 'I m m m'
_symmetry_Int_Tables_number 71
_symmetry_space_group_name_Hall '-I 2 2'
loop_
_atom_site_label
_atom_site_type_symbol
_atom_site_fract_x
_atom_site_fract_y
_atom_site_fract_z
_atom_site_occupancy
Cs1 Cs 0.0000 0.0000 0.0000 1
B1 B 0.0000 0.3511 0.2425 1
Au1 Au 0.0000 0.0000 0.5000 1

Which structure wins on stability? a wins.

a.
# CsGaBAu (PBE, relaxed)
# mass density: 7.39 g/cm³
data_CsGaBAu
_cell_length_a 7.1717
_cell_length_b 7.1717
_cell_length_c 7.1717
_cell_angle_alpha 90.00
_cell_angle_beta 90.00
_cell_angle_gamma 90.00
_symmetry_space_group_name_H-M 'F -4 3 m'
_symmetry_Int_Tables_number 216
_symmetry_space_group_name_Hall 'F -4 2 3'
loop_
_atom_site_label
_atom_site_type_symbol
_atom_site_fract_x
_atom_site_fract_y
_atom_site_fract_z
_atom_site_occupancy
Cs1 Cs 0.0000 0.0000 0.0000 1
Ga1 Ga 0.2500 0.2500 0.2500 1
B1 B 0.2500 0.2500 0.7500 1
Au1 Au 0.0000 0.0000 0.5000 1

b.
# CsGaBAu (PBE, relaxed)
# mass density: 6.71 g/cm³
data_CsGaBAu
_cell_length_a 7.4048
_cell_length_b 7.4048
_cell_length_c 7.4048
_cell_angle_alpha 90.00
_cell_angle_beta 90.00
_cell_angle_gamma 90.00
_symmetry_space_group_name_H-M 'F -4 3 m'
_symmetry_Int_Tables_number 216
_symmetry_space_group_name_Hall 'F -4 2 3'
loop_
_atom_site_label
_atom_site_type_symbol
_atom_site_fract_x
_atom_site_fract_y
_atom_site_fract_z
_atom_site_occupancy
Cs1 Cs 0.0000 0.0000 0.0000 1
Ga1 Ga 0.2500 0.2500 0.2500 1
B1 B 0.0000 0.0000 0.5000 1
Au1 Au 0.2500 0.2500 0.7500 1

Which structure wins on stability? a wins.

a.
# CsTlBAu (PBE, relaxed)
# mass density: 8.41 g/cm³
data_CsTlBAu
_cell_length_a 7.5511
_cell_length_b 7.5511
_cell_length_c 7.5511
_cell_angle_alpha 90.00
_cell_angle_beta 90.00
_cell_angle_gamma 90.00
_symmetry_space_group_name_H-M 'F -4 3 m'
_symmetry_Int_Tables_number 216
_symmetry_space_group_name_Hall 'F -4 2 3'
loop_
_atom_site_label
_atom_site_type_symbol
_atom_site_fract_x
_atom_site_fract_y
_atom_site_fract_z
_atom_site_occupancy
Cs1 Cs 0.0000 0.0000 0.0000 1
Tl1 Tl 0.2500 0.2500 0.7500 1
B1 B 0.2500 0.2500 0.2500 1
Au1 Au 0.0000 0.0000 0.5000 1

b.
# CsTlBAu (PBE, relaxed)
# mass density: 7.90 g/cm³
data_CsTlBAu
_cell_length_a 7.7085
_cell_length_b 7.7085
_cell_length_c 7.7085
_cell_angle_alpha 90.00
_cell_angle_beta 90.00
_cell_angle_gamma 90.00
_symmetry_space_group_name_H-M 'F -4 3 m'
_symmetry_Int_Tables_number 216
_symmetry_space_group_name_Hall 'F -4 2 3'
loop_
_atom_site_label
_atom_site_type_symbol
_atom_site_fract_x
_atom_site_fract_y
_atom_site_fract_z
_atom_site_occupancy
Cs1 Cs 0.0000 0.0000 0.0000 1
Tl1 Tl 0.2500 0.2500 0.7500 1
B1 B 0.0000 0.0000 0.5000 1
Au1 Au 0.2500 0.2500 0.2500 1

Which structure wins on stability? a wins.